Record 1
Below is an optimized crystal structure of Cd2HgCl6, with properties calculated at the PBE-GGA level.

Output
final energy: -2.379 eV per atom
M_tot: 0.0 Bohr magnetons per cell
volume: 253.7 Å³/cell
DOS(E_F): 0.0 states/eV/cell
energy relative to the lowest polymorph listed for this composition: 0.000 eV per formula unit

Unit cell a=3.926 b=7.440 c=9.304 alpha=104.03 beta=90.00 gamma=105.30
Element x y z (fractional)
Cl (0.365, 0.731, 0.461)
Cl (0.298, 0.596, 0.868)
Cl (0.036, 0.073, 0.802)
Cd (0.333, 0.666, 0.164)
Hg (0.000, 0.000, 0.500)
Cd (0.667, 0.334, 0.836)
Cl (0.702, 0.404, 0.132)
Cl (0.964, 0.927, 0.198)
Cl (0.635, 0.269, 0.539)

=====

Record 2
Below is an optimized crystal structure of CdHgCl2, with properties calculated at the PBE-GGA level.

Output
final energy: -1.950 eV per atom
M_tot: 0.0 Bohr magnetons per cell
volume: 135.4 Å³/cell
DOS(E_F): 0.0 states/eV/cell
energy relative to the lowest polymorph listed for this composition: 0.283 eV per formula unit

Unit cell a=7.045 b=7.045 c=6.141 alpha=61.66 beta=61.66 gamma=30.68
Element x y z (fractional)
Cd (0.354, 0.354, 0.946)
Cl (0.714, 0.714, 0.948)
Hg (0.523, 0.523, 0.447)
Cl (0.909, 0.909, 0.160)

=====

Record 3
Below is an optimized crystal structure of CdHg2Cl, with properties calculated at the PBE-GGA level.

Output
final energy: -1.083 eV per atom
M_tot: 0.0 Bohr magnetons per cell
volume: 112.1 Å³/cell
DOS(E_F): 0.3 states/eV/cell
energy relative to the lowest polymorph listed for this composition: 0.232 eV per formula unit

Unit cell a=7.719 b=7.719 c=7.719 alpha=31.60 beta=31.60 gamma=31.60
Element x y z (fractional)
Hg (0.503, 0.503, 0.503)
Cl (0.750, 0.750, 0.750)
Hg (0.997, 0.997, 0.997)
Cd (0.250, 0.250, 0.250)